CsNaCuO2 after structural relaxation. Source: Alexandria via LeMat-Bulk, functional PBE.

Values from the calculation:
* total magnetic moment: 1.001 μB per formula unit
* ΔE_f (raw): -966 meV/atom
* crystal system: orthorhombic

a = 5.053 Å, b = 6.432 Å, c = 7.165 Å
α = 116.67°, β = 90.00°, γ = 90.00°
Site moments in Bohr magnetons follow the coordinates.
Fractional positions:
Cs  0.255  0.750  0.500  0.00
Cs  0.745  0.250  0.500  0.00
Na  0.500  0.750  0.000  0.00
Na  0.500  0.250  0.000  0.00
Cu  0.000  0.000  0.000  0.38
Cu  0.000  0.500  0.000  0.38
O  0.744  0.907  0.814  0.27
O  0.744  0.593  0.186  0.27
O  0.256  0.407  0.814  0.27
O  0.256  0.093  0.186  0.27